Entry 1:
Density functional theory data (GGA-PBE) for an optimized crystal structure of P2AuS.

Structure (CIF):
```
data_P2AuS
_chemical_formula_sum 'P2 Au1 S1'
_symmetry_space_group_name_H-M 'P 1 m 1'
_symmetry_Int_Tables_number 6
_cell_length_a 4.800
_cell_length_b 2.658
_cell_length_c 6.970
_cell_angle_alpha 90.00
_cell_angle_beta 102.40
_cell_angle_gamma 90.00
loop_
_symmetry_equiv_pos_as_xyz
'x,y,z'
'x,-y,z'
loop_
_atom_site_label
_atom_site_fract_x
_atom_site_fract_y
_atom_site_fract_z
_atom_site_occupancy
P1 0.000 0.000 0.000 1
P2 0.011 0.000 0.684 1
Au1 0.489 0.000 0.621 1
S1 0.416 0.000 0.171 1
```

Computed properties:
The uncorrected formation energy is 0.203 eV/atom. The total energy comes out at -0.320 Ry/atom. The calculation puts the calculated density at 5.56 Mg/m³. For the density of states at the Fermi level, the calculation gives 1.82 states/eV/cell. The value obtained for the total magnetization is 0.00 μB per cell.


Entry 2:
Density functional theory data (GGA-PBE) for an optimized crystal structure of PAuS2.

Structure (CIF):
```
data_PAuS2
_chemical_formula_sum 'P1 Au1 S2'
_symmetry_space_group_name_H-M 'P 1'
_symmetry_Int_Tables_number 1
_cell_length_a 4.626
_cell_length_b 4.633
_cell_length_c 5.230
_cell_angle_alpha 87.25
_cell_angle_beta 64.55
_cell_angle_gamma 76.92
loop_
_symmetry_equiv_pos_as_xyz
'x,y,z'
loop_
_atom_site_label
_atom_site_fract_x
_atom_site_fract_y
_atom_site_fract_z
_atom_site_occupancy
P1 0.000 0.000 0.000 1
Au1 0.429 0.030 0.140 1
S1 0.054 0.331 0.681 1
S2 0.313 0.596 0.767 1
```

Computed properties:
The uncorrected formation energy is 0.035 eV/atom. The total energy comes out at -0.309 Ry/atom. The calculation puts the calculated density at 4.93 Mg/m³. The value obtained for the total magnetization is 0.00 μB per cell.


Entry 3:
Density functional theory data (GGA-PBE) for an optimized crystal structure of P2AuS.

Structure (CIF):
```
data_P2AuS
_chemical_formula_sum 'P2 Au1 S1'
_symmetry_space_group_name_H-M 'P 1 m 1'
_symmetry_Int_Tables_number 6
_cell_length_a 4.179
_cell_length_b 3.476
_cell_length_c 5.090
_cell_angle_alpha 90.00
_cell_angle_beta 95.37
_cell_angle_gamma 90.00
loop_
_symmetry_equiv_pos_as_xyz
'x,y,z'
'x,-y,z'
loop_
_atom_site_label
_atom_site_fract_x
_atom_site_fract_y
_atom_site_fract_z
_atom_site_occupancy
P1 0.000 0.000 0.000 1
P2 0.356 0.500 0.042 1
Au1 0.918 0.000 0.503 1
S1 0.431 0.500 0.464 1
```

Computed properties:
The uncorrected formation energy is 0.102 eV/atom. The total energy comes out at -0.327 Ry/atom. The calculation puts the calculated density at 6.56 Mg/m³. For the density of states at the Fermi level, the calculation gives 1.94 states/eV/cell. The value obtained for the total magnetization is 0.00 μB per cell.


Entry 4:
Density functional theory data (GGA-PBE) for an optimized crystal structure of P2AuS.

Structure (CIF):
```
data_P2AuS
_chemical_formula_sum 'P2 Au1 S1'
_symmetry_space_group_name_H-M 'P 1'
_symmetry_Int_Tables_number 1
_cell_length_a 3.496
_cell_length_b 4.852
_cell_length_c 5.135
_cell_angle_alpha 115.45
_cell_angle_beta 96.88
_cell_angle_gamma 99.62
loop_
_symmetry_equiv_pos_as_xyz
'x,y,z'
loop_
_atom_site_label
_atom_site_fract_x
_atom_site_fract_y
_atom_site_fract_z
_atom_site_occupancy
P1 0.000 0.000 0.000 1
P2 0.395 0.645 0.882 1
Au1 0.031 0.103 0.551 1
S1 0.566 0.592 0.260 1
```

Computed properties:
The uncorrected formation energy is 0.051 eV/atom. The total energy comes out at -0.331 Ry/atom. The calculation puts the calculated density at 6.38 Mg/m³. For the density of states at the Fermi level, the calculation gives 0.93 states/eV/cell. The value obtained for the total magnetization is 0.00 μB per cell.